# 1
# Zr6Co16Ge7

A relaxed Zr6Co16Ge7 crystal (PBE, Alexandria via LeMat-Bulk).

Output
- DFT total energy (eV per cell) = -210.96
- ΔE_f (meV per atom) = -471.0
- calculated density (Mg/m³) = 8.50
- SG = Fm-3m (225)

```
Zr6Co16Ge7
1.0
-5.081 5.675 -3.048
-8.082 -1.397 -0.169
-4.987 4.158 5.014
Zr Co Ge
6 16 7
Direct
0.707 0.293 0.293
0.293 0.293 0.707
0.293 0.707 0.707
0.707 0.707 0.293
0.293 0.707 0.293
0.707 0.293 0.707
0.120 0.120 0.639
0.673 0.982 0.673
0.361 0.880 0.880
0.018 0.327 0.327
0.982 0.673 0.673
0.327 0.327 0.018
0.673 0.673 0.982
0.639 0.120 0.120
0.673 0.673 0.673
0.880 0.880 0.361
0.120 0.120 0.120
0.880 0.361 0.880
0.880 0.880 0.880
0.327 0.327 0.327
0.120 0.639 0.120
0.327 0.018 0.327
0.000 0.500 0.000
0.000 0.000 0.500
0.000 0.000 0.000
0.500 0.500 0.000
0.500 0.000 0.500
0.500 0.000 0.000
0.000 0.500 0.500
```


# 2
# SrAsCl2

A relaxed SrAsCl2 crystal (PBE, Alexandria via LeMat-Bulk).

Output
- DFT total energy (eV per cell) = -27.95
- calculated density (Mg/m³) = 3.45
- SG = I-42d (122)
- E above lowest polymorph (eV per formula unit) = 0.84

```
SrAsCl2
1.0
-1.722 -1.980 4.144
-0.757 -4.243 -2.341
7.385 -5.893 3.156
Sr As Cl
2 2 4
Direct
0.000 0.000 0.000
0.750 0.250 0.500
0.500 0.500 0.000
0.250 0.750 0.500
0.601 0.125 0.250
0.149 0.625 0.250
0.375 0.399 0.750
0.875 0.851 0.750
```


# 3
# Sr3Ni2H9

A relaxed Sr3Ni2H9 crystal (PBE, Alexandria via LeMat-Bulk).

Output
- DFT total energy (eV per cell) = -53.03
- calculated density (Mg/m³) = 4.24
- SG = P-3m1 (164)

```
Sr3Ni2H9
1.0
-2.714 0.553 4.429
-1.783 -3.130 -3.783
3.213 -4.957 2.588
Sr Ni H
3 2 9
Direct
0.667 0.333 0.659
0.000 0.000 0.000
0.333 0.667 0.341
0.667 0.333 0.167
0.333 0.667 0.833
0.181 0.819 0.696
0.181 0.362 0.696
0.500 0.500 0.000
0.819 0.638 0.304
0.362 0.181 0.304
0.638 0.819 0.696
0.819 0.181 0.304
0.000 0.500 0.000
0.500 0.000 0.000
```


# 4
# PrNd4Sm15

A relaxed PrNd4Sm15 crystal (PBE, Alexandria via LeMat-Bulk).

Output
- DFT total energy (eV per cell) = -94.34
- ΔE_f (meV per atom) = 15.1
- calculated density (Mg/m³) = 7.22
- SG = P4/mmm (123)

```
PrNd4Sm15
1.0
-3.466 3.782 -0.511
-2.896 -3.056 -2.975
-12.406 -8.554 20.861
Pr Nd Sm
1 4 15
Direct
0.000 0.000 0.000
0.000 0.000 0.200
0.000 0.000 0.400
0.000 0.000 0.600
0.000 0.000 0.800
0.500 0.500 0.000
0.500 0.500 0.200
0.500 0.500 0.400
0.500 0.500 0.600
0.500 0.500 0.800
0.500 0.000 0.100
0.500 0.000 0.300
0.500 0.000 0.500
0.500 0.000 0.700
0.500 0.000 0.900
0.000 0.500 0.100
0.000 0.500 0.300
0.000 0.500 0.500
0.000 0.500 0.700
0.000 0.500 0.900
```


# 5
# Pm2Ga5Co2Rh

A relaxed Pm2Ga5Co2Rh crystal (PBE, Alexandria via LeMat-Bulk).

Output
- DFT total energy (eV per cell) = -100.30
- ΔE_f (meV per atom) = -395.1
- calculated density (Mg/m³) = 8.26
- SG = P4/mbm (127)

```
Pm2Ga5Co2Rh
1.0
3.878 0.000 0.000
0.000 9.438 0.000
0.000 0.000 9.438
Pm Ga Co Rh
4 10 4 2
Direct
0.000 0.684 0.184
0.000 0.316 0.816
0.000 0.184 0.316
0.000 0.816 0.684
0.500 0.201 0.054
0.500 0.799 0.946
0.500 0.054 0.799
0.500 0.701 0.446
0.500 0.946 0.201
0.500 0.299 0.554
0.500 0.554 0.701
0.500 0.446 0.299
0.500 0.500 0.000
0.500 0.000 0.500
0.000 0.112 0.612
0.000 0.888 0.388
0.000 0.612 0.888
0.000 0.388 0.112
0.000 0.000 0.000
0.000 0.500 0.500
```


# 6
# Ce4Tl3Hg4

A relaxed Ce4Tl3Hg4 crystal (PBE, Alexandria via LeMat-Bulk).

Output
- DFT total energy (eV per cell) = -33.39
- ΔE_f (meV per atom) = -122.8
- calculated density (Mg/m³) = 10.02
- SG = Immm (71)
- E above lowest polymorph (eV per formula unit) = 0.00

```
Ce4Tl3Hg4
1.0
3.840 0.000 -0.885
-0.730 7.534 -3.166
0.535 0.243 11.087
Ce Tl Hg
4 3 4
Direct
0.748 0.248 0.496
0.252 0.752 0.504
0.500 0.834 0.000
0.500 0.166 0.000
0.883 0.883 0.766
0.117 0.117 0.234
0.000 0.500 0.000
0.651 0.463 0.302
0.349 0.161 0.698
0.349 0.537 0.698
0.651 0.839 0.302
```


# 7
# CoTcSe2

A relaxed CoTcSe2 crystal (PBE, Alexandria via LeMat-Bulk).

Output
- DFT total energy (eV per cell) = -23.69
- calculated density (Mg/m³) = 8.83
- SG = P4/mmm (123)
- E above lowest polymorph (eV per formula unit) = 1.84

```
CoTcSe2
1.0
3.094 0.000 0.000
0.000 3.094 0.000
0.000 0.000 6.185
Co Se Tc
1 2 1
Direct
0.500 0.500 0.750
0.000 0.000 0.998
0.000 0.000 0.502
0.500 0.500 0.250
```


# 8
# LaUGa2

A relaxed LaUGa2 crystal (PBE, Alexandria via LeMat-Bulk).

Output
- DFT total energy (eV per cell) = -21.39
- ΔE_f (meV per atom) = 219.7
- calculated density (Mg/m³) = 9.07
- SG = R-3m (166)

```
LaUGa2
1.0
-1.101 -1.533 2.418
0.073 -3.067 0.035
10.139 -1.228 5.782
U Ga La
1 2 1
Direct
0.500 0.500 0.500
0.909 0.909 0.274
0.091 0.091 0.726
0.000 0.000 0.000
```


# 9
# AsAu3

A relaxed AsAu3 crystal (PBE, Alexandria via LeMat-Bulk).

Output
- DFT total energy (eV per cell) = -14.02
- ΔE_f (meV per atom) = 115.7
- calculated density (Mg/m³) = 14.32
- SG = R-3m (166)
- E above lowest polymorph (eV per formula unit) = 0.04

```
AsAu3
1.0
-1.757 4.213 6.792
-4.330 2.077 6.625
-1.429 1.101 7.982
As Au
1 3
Direct
0.000 0.000 0.000
0.746 0.746 0.746
0.500 0.500 0.500
0.254 0.254 0.254
```


# 10
# Sr3YTe

A relaxed Sr3YTe crystal (PBE, Alexandria via LeMat-Bulk).

Output
- DFT total energy (eV per cell) = -12.01
- calculated density (Mg/m³) = 3.05
- SG = Pm-3m (221)
- E above lowest polymorph (eV per formula unit) = 3.63

```
Sr3YTe
1.0
6.387 0.000 0.000
0.000 6.387 0.000
0.000 0.000 6.387
Y Sr Te
1 3 1
Direct
0.000 0.000 0.000
0.000 0.500 0.000
0.000 0.000 0.500
0.500 0.000 0.000
0.500 0.500 0.500
```


# 11
# Ag6Pd7Au16

A relaxed Ag6Pd7Au16 crystal (PBE, Alexandria via LeMat-Bulk).

Output
- DFT total energy (eV per cell) = -105.53
- ΔE_f (meV per atom) = 12.5
- calculated density (Mg/m³) = 13.97
- SG = Fm-3m (225)

```
Ag6Pd7Au16
1.0
7.916 0.000 4.570
2.639 7.463 4.570
0.000 0.000 9.141
Ag Pd Au
6 7 16
Direct
0.245 0.755 0.245
0.755 0.245 0.755
0.245 0.755 0.755
0.755 0.245 0.245
0.245 0.245 0.755
0.755 0.755 0.245
0.500 0.500 0.500
0.500 0.000 0.500
0.000 0.500 0.000
0.500 0.000 0.000
0.000 0.500 0.500
0.500 0.500 0.000
0.000 0.000 0.500
0.404 0.865 0.865
0.865 0.404 0.865
0.865 0.865 0.865
0.865 0.865 0.404
0.135 0.596 0.135
0.596 0.135 0.135
0.135 0.135 0.135
0.135 0.135 0.596
0.115 0.628 0.628
0.628 0.115 0.628
0.628 0.628 0.628
0.628 0.628 0.115
0.372 0.885 0.372
0.885 0.372 0.372
0.372 0.372 0.372
0.372 0.372 0.885
```


# 12
# AlNiAgSe

A relaxed AlNiAgSe crystal (PBE, Alexandria via LeMat-Bulk).

Output
- DFT total energy (eV per cell) = -16.35
- calculated density (Mg/m³) = 6.67
- SG = Pmm2 (25)
- E above lowest polymorph (eV per formula unit) = 0.45

```
AlNiAgSe
1.0
-0.900 1.889 -2.948
-2.720 0.022 0.845
1.063 5.615 3.273
Ni Se Ag Al
1 1 1 1
Direct
0.000 0.500 0.187
0.500 0.500 0.442
0.000 0.500 0.788
0.500 0.000 0.048
```


# 13
# Ba2CrRe

A relaxed Ba2CrRe crystal (PBE, Alexandria via LeMat-Bulk).

Output
- DFT total energy (eV per cell) = -19.91
- ΔE_f (meV per atom) = 1502.6
- calculated density (Mg/m³) = 7.19
- SG = R-3m (166)
- E above lowest polymorph (eV per formula unit) = 3.83

```
Ba2CrRe
1.0
11.037 -0.086 -0.050
10.494 3.423 -0.050
10.494 1.626 3.012
Ba Cr Re
2 1 1
Direct
0.009 0.009 0.009
0.491 0.491 0.491
0.250 0.250 0.250
0.750 0.750 0.750
```


# 14
# Ac2TbPm5Dy

A relaxed Ac2TbPm5Dy crystal (PBE, Alexandria via LeMat-Bulk).

Output
- DFT total energy (eV per cell) = -79.91
- ΔE_f (meV per atom) = 138.4
- calculated density (Mg/m³) = 7.59
- SG = Cmc2_1 (36)

```
Ac2TbPm5Dy
1.0
-4.110 1.736 -3.749
2.742 -9.870 -3.048
-7.736 -4.172 6.549
Ac Tb Pm Dy
4 2 10 2
Direct
0.883 0.766 0.819
0.113 0.225 0.733
0.117 0.234 0.319
0.887 0.775 0.233
0.591 0.182 0.966
0.409 0.818 0.466
0.389 0.778 0.022
0.718 0.436 0.809
0.482 0.964 0.742
0.296 0.592 0.702
0.981 0.961 0.523
0.611 0.222 0.522
0.282 0.564 0.309
0.518 0.036 0.242
0.704 0.408 0.202
0.019 0.039 0.023
0.795 0.589 0.509
0.205 0.411 0.009
```


# 15
# FeTcNi2

A relaxed FeTcNi2 crystal (PBE, Alexandria via LeMat-Bulk).

Output
- DFT total energy (eV per cell) = -29.12
- ΔE_f (meV per atom) = 318.9
- calculated density (Mg/m³) = 9.56
- SG = Fm-3m (225)
- E above lowest polymorph (eV per formula unit) = 1.29

```
FeTcNi2
1.0
0.000 2.866 2.866
2.866 0.000 2.866
2.866 2.866 0.000
Ni Tc Fe
2 1 1
Direct
0.250 0.250 0.250
0.750 0.750 0.750
0.500 0.500 0.500
0.000 0.000 0.000
```


# 16
# Ce2Nd4Pb3O2

A relaxed Ce2Nd4Pb3O2 crystal (PBE, Alexandria via LeMat-Bulk).

Output
- DFT total energy (eV per cell) = -66.42
- calculated density (Mg/m³) = 8.08
- SG = I4/mmm (139)

```
Ce2Nd4Pb3O2
1.0
-3.838 1.595 -2.543
-2.888 -0.836 3.834
5.562 11.780 3.662
Ce Nd Pb O
2 4 3 2
Direct
0.307 0.307 0.614
0.693 0.693 0.386
0.418 0.918 0.835
0.918 0.418 0.835
0.082 0.582 0.165
0.582 0.082 0.165
0.000 0.000 0.000
0.178 0.178 0.356
0.822 0.822 0.644
0.396 0.396 0.792
0.604 0.604 0.208
```


# 17
# SrCuSi2

A relaxed SrCuSi2 crystal (PBE, Alexandria via LeMat-Bulk).

Output
- DFT total energy (eV per cell) = -16.35
- calculated density (Mg/m³) = 4.51
- SG = P4mm (99)

```
SrCuSi2
1.0
-2.268 -2.362 0.661
0.966 -1.687 -2.717
4.620 -3.387 3.746
Cu Si Sr
1 2 1
Direct
0.500 0.500 0.832
0.000 0.000 0.990
0.500 0.500 0.178
0.000 0.000 0.499
```


# 18
# MgTiCoRh

A relaxed MgTiCoRh crystal (PBE, Alexandria via LeMat-Bulk).

Output
- DFT total energy (eV per cell) = -25.89
- ΔE_f (meV per atom) = -485.4
- calculated density (Mg/m³) = 6.94
- SG = F-43m (216)

```
MgTiCoRh
1.0
-3.466 -1.137 2.266
0.239 -3.238 2.810
-0.165 0.799 4.216
Co Mg Rh Ti
1 1 1 1
Direct
0.750 0.750 0.750
0.000 0.000 0.000
0.250 0.250 0.250
0.500 0.500 0.500
```


# 19
# ZnOsBr2

A relaxed ZnOsBr2 crystal (PBE, Alexandria via LeMat-Bulk).

Output
- DFT total energy (eV per cell) = -14.67
- calculated density (Mg/m³) = 5.49
- SG = Cmmm (65)
- E above lowest polymorph (eV per formula unit) = 0.45

```
ZnOsBr2
1.0
3.808 0.000 0.000
0.000 6.999 0.275
0.000 4.997 4.911
Br Os Zn
2 1 1
Direct
0.000 0.126 0.126
0.000 0.374 0.374
0.500 0.250 0.250
0.500 0.750 0.750
```


# 20
# Cs2CaPu3O12

A relaxed Cs2CaPu3O12 crystal (PBE, Alexandria via LeMat-Bulk).

Output
- DFT total energy (eV per cell) = -150.70
- calculated density (Mg/m³) = 5.91
- SG = R-3m (166)

```
Cs2CaPu3O12
1.0
-4.807 -0.218 -6.074
3.131 -0.562 -7.066
-0.762 -6.730 -3.764
Cs Ca Pu O
2 1 3 12
Direct
0.619 0.619 0.619
0.381 0.381 0.381
0.000 0.000 0.000
0.500 0.000 0.000
0.000 0.500 0.000
0.000 0.000 0.500
0.308 0.308 0.927
0.924 0.924 0.353
0.353 0.924 0.924
0.927 0.308 0.308
0.924 0.353 0.924
0.308 0.927 0.308
0.692 0.692 0.073
0.076 0.076 0.647
0.647 0.076 0.076
0.073 0.692 0.692
0.076 0.647 0.076
0.692 0.073 0.692
```


no.,spin magnetization (μB/cell)
1,6.6
2,0.0
3,0.0
4,0.0
5,0.0
6,4.4
7,1.1
8,1.9
9,0.0
10,4.7
11,0.0
12,0.0
13,5.2
14,0.0
15,0.0
16,1.9
17,0.0
18,0.0
19,0.9
20,4.0